# LiFe2O, relaxed, DFT GGA+U
data_LiFe2O
_chemical_formula_sum 'Li4 Fe8 O4'
_space_group_name_H-M_alt 'I -4 2 d'
_space_group_IT_number 122
_space_group_name_Hall 'I -4 2bw'
_cell_length_a 7.664
_cell_length_b 7.664
_cell_length_c 3.753
_cell_angle_alpha 90.00
_cell_angle_beta 90.00
_cell_angle_gamma 90.00
loop_
_atom_site_label
_atom_site_type_symbol
_atom_site_fract_x
_atom_site_fract_y
_atom_site_fract_z
Li1 Li 0.000 0.000 0.000
Fe1 Fe 0.106 0.250 0.625
O1 O 0.000 0.000 0.500
# - Density: 4.06 g cm⁻³
# - Total energy: -76.97 eV/cell